Below is AlMoIr2 at its PBEsol-relaxed geometry, with properties calculated at the SCAN level.

Unit cell a=4.8182 b=4.8182 c=4.8182 alpha=133.93 beta=133.93 gamma=67.19
Last column: nearest neighbours and their distance in Å.
Fractional coordinates of all 4 atoms:
Al: 0.0000 0.0000 0.0000  8 Ir 2.67-2.75, 4 Mo 2.75
Mo: 0.2500 0.7500 0.5000  8 Ir 2.67-2.75, 4 Al 2.75
Ir: 0.5000 0.5000 0.0000  4 Al 2.67, 4 Ir 2.75, 4 Mo 2.75
Ir: 0.7500 0.2500 0.5000  4 Mo 2.67, 4 Ir 2.75, 4 Al 2.75

energy relative to the lowest polymorph listed for this composition = 1.268 eV/f.u.
E_form = -0.49 eV per atom



Below is HfBe2Cl at its PBEsol-relaxed geometry, with properties calculated at the SCAN level.

Unit cell a=4.4264 b=4.4264 c=4.4264 alpha=60.00 beta=60.00 gamma=60.00
Last column: nearest neighbours and their distance in Å.
Fractional coordinates of all 4 atoms:
Hf: 0.0000 0.0000 0.0000  8 Be 2.71
Be: 0.2500 0.2500 0.2500  4 Cl 2.71, 4 Hf 2.71
Be: 0.7500 0.7500 0.7500  4 Cl 2.71, 4 Hf 2.71
Cl: 0.5000 0.5000 0.5000  8 Be 2.71

raw formation energy = 1.029 eV per atom



Below is ZrTaCl2 at its PBEsol-relaxed geometry, with properties calculated at the SCAN level.

Unit cell a=4.7263 b=4.7263 c=2.9853 alpha=90.00 beta=90.00 gamma=101.44
Last column: nearest neighbours and their distance in Å.
Fractional coordinates of all 4 atoms:
Zr: 0.0000 0.0000 0.0000  8 Cl 2.80, 2 Zr 2.99, 2 Ta 2.99
Ta: 0.5000 0.5000 0.0000  8 Cl 2.80, 2 Ta 2.99, 2 Zr 2.99
Cl: 0.0000 0.5000 0.5000  4 Zr 2.80, 4 Ta 2.80, 4 Cl 2.99
Cl: 0.5000 0.0000 0.5000  4 Zr 2.80, 4 Ta 2.80, 4 Cl 2.99

raw formation energy = 0.236 eV per atom